CsHf3Co, relaxed, DFT PBE-GGA; ΔE_f = 2.78 eV per atom; symmetry = Pm-3m
1.0
5.162 0.000 0.000
0.000 5.162 0.000
0.000 0.000 5.162
Cs Hf Co
1 3 1
direct
0.000 0.000 0.000 Cs
0.000 0.000 0.500 Hf
0.000 0.500 0.000 Hf
0.500 0.000 0.000 Hf
0.500 0.500 0.500 Co